! RuPtRh2 | Alexandria via LeMat-Bulk | SCAN | PBEsol geometry; values from VASP
! E_tot = -43.114 eV/atom
! Energy relative to the lowest polymorph listed for this composition = 0.072 eV/atom
! Calculated formation energy = 0.03 eV per atom
&SYSTEM
  ibrav = 0, nat = 4, ntyp = 3
/
ATOMIC_SPECIES
Ru 101.07 Ru.upf
Rh 102.91 Rh.upf
Pt 195.08 Pt.upf
CELL_PARAMETERS angstrom
-2.053 -1.044 -1.384
-0.218 -3.558 3.007
-2.757 3.458 1.480
ATOMIC_POSITIONS crystal
Ru 0.500 0.000 0.000
Rh 0.000 0.000 0.500
Rh 0.000 0.500 0.000
Pt 0.500 0.500 0.500